Model w:
Here is an optimized crystal structure of TiZn4Au2 from Alexandria via LeMat-Bulk. Energies are from PBE.

* total magnetic moment: 2.0 Bohr magnetons per cell
* crystal system: tetragonal

Unit cell a=3.439 b=3.439 c=19.905 alpha=90.00 beta=90.00 gamma=90.00
Space group I4/mmm (No. 139)
Inequivalent atoms, fractional coordinates:
Ti  0.000  0.000  0.000 x2
Zn  0.000  0.000  0.142 x4
Zn  0.000  0.500  0.250 x4
Au  0.000  0.000  0.424 x4

Model x:
Here is an optimized crystal structure of TiZn4Au2 from Alexandria via LeMat-Bulk. Energies are from PBE.

* total magnetic moment: 1.1 Bohr magnetons per cell
* crystal system: tetragonal

Unit cell a=4.926 b=4.926 c=12.707 alpha=90.00 beta=90.00 gamma=90.00
Space group I4/mmm (No. 139)
Inequivalent atoms, fractional coordinates:
Ti  0.000  0.000  0.000 x2
Zn  0.000  0.000  0.401 x4
Zn  0.000  0.500  0.000 x4
Au  0.000  0.000  0.200 x4

The energy of each structure relative to the most stable one, in meV per atom, is as follows: model w 0; model x 605.